Tb3ThSc2 (PBE, optimized geometry); total moment = 0.0 μB/f.u.; D(E_F) = 21.57 states/eV per cell; ΔE_f = 239.6 meV per atom; space-group type = Cmc2_1
1.0
6.331 0.000 0.000
0.000 7.126 3.140
0.000 -0.754 7.750
Sc Tb Th
4 6 2
direct
0.052 0.134 0.490
0.052 0.490 0.134
0.552 0.510 0.866
0.552 0.866 0.510
0.582 0.249 0.611
0.835 0.097 0.097
0.082 0.389 0.751
0.335 0.903 0.903
0.082 0.751 0.389
0.582 0.611 0.249
0.355 0.174 0.174
0.855 0.826 0.826

***

TbTh6Sc12 (PBE, optimized geometry); total moment = 0.0 μB/f.u.; D(E_F) = 32.96 states/eV per cell; ΔE_f = 543.2 meV per atom; space-group type = R-3m
1.0
-3.775 -7.216 3.220
5.563 2.743 6.182
-6.328 6.042 -0.367
Th Sc Tb
6 12 1
direct
0.681 0.289 0.681
0.289 0.681 0.681
0.711 0.319 0.319
0.681 0.681 0.289
0.319 0.319 0.711
0.319 0.711 0.319
0.336 0.102 0.336
0.109 0.500 0.891
0.891 0.500 0.109
0.500 0.109 0.891
0.664 0.898 0.664
0.109 0.891 0.500
0.898 0.664 0.664
0.336 0.336 0.102
0.102 0.336 0.336
0.891 0.109 0.500
0.664 0.664 0.898
0.500 0.891 0.109
0.000 0.000 0.000

***

Tb2Th2Sc5 (PBE, optimized geometry); total moment = 0.0 μB/f.u.; D(E_F) = 13.87 states/eV per cell; ΔE_f = 251.9 meV per atom; space-group type = P-1
1.0
3.266 -0.008 -0.666
-0.488 7.257 -2.327
0.755 -2.782 11.896
Th Sc Tb
2 5 2
direct
0.448 0.240 0.894
0.552 0.760 0.106
0.909 0.543 0.809
0.091 0.457 0.191
0.310 0.153 0.616
0.000 0.000 0.000
0.690 0.847 0.384
0.815 0.768 0.629
0.185 0.232 0.371

***

Tb2Th3Sc3 (PBE, optimized geometry); total moment = 0.0 μB/f.u.; D(E_F) = 11.17 states/eV per cell; ΔE_f = 41.0 meV per atom; space-group type = Immm
1.0
4.758 0.000 0.000
0.000 4.925 0.000
-2.379 -2.462 9.981
Th Sc Tb
3 3 2
direct
0.622 0.622 0.245
0.500 0.000 0.000
0.378 0.378 0.755
0.122 0.122 0.245
0.000 0.500 0.000
0.878 0.878 0.755
0.749 0.249 0.498
0.251 0.751 0.502

***

Tb3ThSc (PBE, optimized geometry); total moment = 0.0 μB/f.u.; D(E_F) = 29.07 states/eV per cell; ΔE_f = 45.9 meV per atom; space-group type = Imma
1.0
4.899 -0.870 -0.124
-0.195 12.390 5.462
-1.272 5.335 12.381
Th Sc Tb
4 4 12
direct
0.250 0.874 0.126
0.750 0.126 0.874
0.250 0.376 0.624
0.750 0.624 0.376
0.453 0.578 0.828
0.547 0.422 0.172
0.047 0.172 0.422
0.953 0.828 0.578
0.648 0.276 0.521
0.546 0.920 0.671
0.454 0.080 0.329
0.850 0.973 0.227
0.352 0.724 0.479
0.150 0.027 0.773
0.852 0.479 0.724
0.954 0.329 0.080
0.350 0.227 0.973
0.148 0.521 0.276
0.046 0.671 0.920
0.650 0.773 0.027

***

Tb5Th4Sc (PBE, optimized geometry); total moment = 0.0 μB/f.u.; D(E_F) = 12.98 states/eV per cell; ΔE_f = 197.5 meV per atom; space-group type = P-1
1.0
-1.849 -0.975 -2.814
-5.169 -6.918 5.807
-5.616 6.211 3.745
Tb Th Sc
5 4 1
direct
0.146 0.771 0.298
0.189 0.400 0.377
0.500 0.500 0.000
0.811 0.600 0.623
0.854 0.229 0.702
0.679 0.083 0.360
0.967 0.758 0.931
0.321 0.917 0.640
0.033 0.242 0.069
0.500 0.000 0.000

***

Tb12ThSc7 (PBE, optimized geometry); total moment = 0.0 μB/f.u.; D(E_F) = 29.61 states/eV per cell; ΔE_f = 267.1 meV per atom; space-group type = R-3m
1.0
9.650 -0.647 -0.971
-3.304 9.089 -0.971
-3.304 -4.397 8.014
Sc Tb Th
7 12 1
direct
0.158 0.158 0.492
0.508 0.842 0.842
0.158 0.492 0.158
0.500 0.500 0.500
0.492 0.158 0.158
0.842 0.508 0.842
0.842 0.842 0.508
0.415 0.415 0.085
0.000 0.284 0.716
0.000 0.716 0.284
0.716 0.284 0.000
0.284 0.716 0.000
0.415 0.085 0.415
0.915 0.585 0.585
0.085 0.415 0.415
0.585 0.915 0.585
0.585 0.585 0.915
0.716 0.000 0.284
0.284 0.000 0.716
0.000 0.000 0.000

***

Tb3Th3Sc2 (PBE, optimized geometry); total moment = 0.0 μB/f.u.; D(E_F) = 11.24 states/eV per cell; ΔE_f = 46.7 meV per atom; space-group type = Pmmm
1.0
-0.866 -4.010 2.691
-0.597 -2.644 -4.131
9.735 -2.131 -0.043
Th Sc Tb
3 2 3
direct
0.500 0.000 0.000
0.500 0.500 0.749
0.500 0.500 0.251
0.000 0.000 0.753
0.000 0.000 0.247
0.000 0.500 0.500
0.000 0.500 0.000
0.500 0.000 0.500

***

Tb2Th4Sc5 (PBE, optimized geometry); total moment = 0.0 μB/f.u.; D(E_F) = 14.26 states/eV per cell; ΔE_f = 46.5 meV per atom; space-group type = C2/m
1.0
-2.526 1.431 -1.896
4.818 -2.911 -8.618
-7.798 -5.492 9.415
Sc Tb Th
5 2 4
direct
0.863 0.900 0.727
0.500 0.000 0.000
0.771 0.188 0.542
0.137 0.100 0.273
0.229 0.812 0.458
0.403 0.265 0.805
0.597 0.735 0.195
0.319 0.545 0.638
0.958 0.645 0.916
0.042 0.355 0.084
0.681 0.455 0.362

***

Tb7ThSc2 (PBE, optimized geometry); total moment = 0.0 μB/f.u.; D(E_F) = 15.94 states/eV per cell; ΔE_f = 693.4 meV per atom; space-group type = Cmmm
1.0
-0.425 -2.805 4.687
8.447 -2.643 -0.816
-2.033 7.504 4.307
Tb Th Sc
7 1 2
direct
0.500 0.061 0.297
0.000 0.774 0.226
0.500 0.939 0.703
0.500 0.500 0.500
0.000 0.226 0.774
0.500 0.297 0.061
0.500 0.703 0.939
0.000 0.000 0.000
0.500 0.298 0.702
0.500 0.702 0.298

***

TbThSc5 (PBE, optimized geometry); total moment = 0.0 μB/f.u.; D(E_F) = 19.29 states/eV per cell; ΔE_f = 96.0 meV per atom; space-group type = C2/c
1.0
6.055 -0.380 -1.017
-0.486 6.047 -1.017
-1.340 -1.364 10.848
Tb Sc Th
2 10 2
direct
0.000 0.000 0.000
0.000 0.000 0.500
0.768 0.462 0.036
0.462 0.768 0.536
0.164 0.836 0.250
0.836 0.164 0.750
0.385 0.036 0.837
0.538 0.232 0.464
0.964 0.615 0.663
0.615 0.964 0.163
0.232 0.538 0.964
0.036 0.385 0.337
0.509 0.491 0.250
0.491 0.509 0.750

***

Tb2ThSc2 (PBE, optimized geometry); total moment = 0.0 μB/f.u.; D(E_F) = 13.23 states/eV per cell; ΔE_f = 62.1 meV per atom; space-group type = Cmc2_1
1.0
5.273 0.000 0.000
0.000 6.760 0.000
-2.636 0.000 8.125
Tb Sc Th
4 4 2
direct
0.202 0.833 0.403
0.002 0.318 0.003
0.998 0.818 0.997
0.798 0.333 0.597
0.614 0.079 0.227
0.199 0.330 0.399
0.386 0.579 0.773
0.801 0.830 0.601
0.393 0.075 0.785
0.607 0.575 0.215

***

Tb2ThSc (PBE, optimized geometry); total moment = 0.0 μB/f.u.; D(E_F) = 10.24 states/eV per cell; ΔE_f = 206.6 meV per atom; space-group type = Fm-3m
1.0
-4.660 0.567 2.990
-4.722 -2.388 -1.726
-2.084 -4.362 2.759
Th Tb Sc
1 2 1
direct
0.000 0.000 0.000
0.750 0.750 0.750
0.250 0.250 0.250
0.500 0.500 0.500

***

Tb2ThSc (PBE, optimized geometry); total moment = 0.0 μB/f.u.; D(E_F) = 7.06 states/eV per cell; ΔE_f = 237.4 meV per atom; space-group type = Pmmm
1.0
5.218 0.000 -3.724
0.000 3.280 0.000
-1.890 0.000 8.385
Th Sc Tb
1 1 2
direct
0.000 0.000 0.000
0.500 0.500 0.000
0.761 0.000 0.500
0.239 0.000 0.500

***

TbTh2Sc2 (PBE, optimized geometry); total moment = 0.0 μB/f.u.; D(E_F) = 19.58 states/eV per cell; ΔE_f = 559.7 meV per atom; space-group type = Fddd
1.0
-3.658 1.430 4.699
0.249 -5.562 -2.551
9.296 -0.691 5.675
Th Sc Tb
4 4 2
direct
0.840 0.160 0.000
0.410 0.590 0.500
0.160 0.840 0.000
0.090 0.910 0.500
0.625 0.375 0.750
0.625 0.875 0.250
0.625 0.375 0.250
0.125 0.375 0.750
0.750 0.250 0.500
0.500 0.500 0.000

***

Tb2ThSc5 (PBE, optimized geometry); total moment = 0.0 μB/f.u.; D(E_F) = 27.05 states/eV per cell; ΔE_f = 48.1 meV per atom; space-group type = Pbam
1.0
4.846 0.000 0.000
0.000 6.685 0.000
0.000 0.000 13.405
Tb Sc Th
4 10 2
direct
0.500 0.740 0.373
0.500 0.760 0.873
0.500 0.260 0.627
0.500 0.240 0.127
0.500 0.263 0.876
0.500 0.237 0.376
0.000 0.514 0.750
0.000 0.486 0.250
0.000 0.500 0.500
0.000 0.014 0.750
0.500 0.763 0.624
0.000 0.986 0.250
0.500 0.737 0.124
0.000 0.000 0.000
0.000 0.500 0.000
0.000 0.000 0.500

***

Tb3Th3Sc5 (PBE, optimized geometry); total moment = 0.0 μB/f.u.; D(E_F) = 17.08 states/eV per cell; ΔE_f = 95.1 meV per atom; space-group type = P1
1.0
6.013 2.317 1.328
2.295 7.097 -4.609
1.958 0.061 9.528
Tb Sc Th
3 5 3
direct
0.950 0.006 0.068
0.567 0.828 0.018
0.403 0.993 0.757
0.642 0.627 0.265
0.853 0.286 0.783
0.044 0.802 0.657
0.308 0.276 0.493
0.240 0.466 0.883
0.964 0.901 0.365
0.717 0.441 0.533
0.313 0.374 0.177

***

TbTh3Sc7 (PBE, optimized geometry); total moment = 0.0 μB/f.u.; D(E_F) = 15.90 states/eV per cell; ΔE_f = 228.8 meV per atom; space-group type = P3m1
1.0
-4.205 3.512 5.873
-0.514 -5.930 3.178
5.216 4.081 1.294
Th Sc Tb
3 7 1
direct
0.787 0.997 0.499
0.787 0.501 0.003
0.787 0.501 0.499
0.445 0.833 0.167
0.123 0.667 0.333
0.117 0.669 0.835
0.117 0.165 0.331
0.445 0.833 0.666
0.117 0.165 0.835
0.445 0.334 0.167
0.444 0.333 0.667

***

Tb8Th2Sc3 (PBE, optimized geometry); total moment = 0.0 μB/f.u.; D(E_F) = 22.44 states/eV per cell; ΔE_f = 211.8 meV per atom; space-group type = C2/m
1.0
5.832 0.323 1.319
1.906 8.265 1.577
0.814 -0.571 8.570
Sc Tb Th
3 8 2
direct
0.500 0.000 0.000
0.000 0.264 0.736
0.000 0.736 0.264
0.775 0.416 0.416
0.351 0.921 0.395
0.649 0.605 0.079
0.649 0.079 0.605
0.896 0.137 0.137
0.104 0.863 0.863
0.225 0.584 0.584
0.351 0.395 0.921
0.656 0.682 0.682
0.344 0.318 0.318

***

Tb2Th2Sc5 (PBE, optimized geometry); total moment = 0.0 μB/f.u.; D(E_F) = 25.16 states/eV per cell; ΔE_f = 318.4 meV per atom; space-group type = Ima2
1.0
9.022 0.000 0.000
0.000 8.473 0.000
-4.511 -4.237 6.822
Tb Sc Th
4 10 4
direct
0.944 0.415 0.754
0.690 0.161 0.246
0.056 0.661 0.246
0.310 0.915 0.754
0.856 0.232 0.045
0.312 0.688 0.955
0.688 0.732 0.045
0.097 0.118 0.500
0.626 0.805 0.710
0.416 0.595 0.290
0.903 0.618 0.500
0.584 0.305 0.710
0.144 0.188 0.955
0.374 0.095 0.290
0.500 0.362 0.000
0.752 0.959 0.500
0.000 0.862 0.000
0.248 0.459 0.500